(1)
Density functional theory data (GGA-PBEsol) for a relaxed structure of ReSbPb.

Properties
For the total energy, the calculation gives -20.28 eV/f.u. As for the total magnetic moment: 0.0 μB/cell. As for the space-group type: P3m1 (156). The value obtained for the uncorrected formation energy is 0.535 eV per atom. As for the energy above the most stable polymorph in this dataset: 0.000 eV per atom.

a = 3.347 Å, b = 3.347 Å, c = 6.833 Å
α = 90.00°, β = 90.00°, γ = 120.00°
Atoms (fractional coordinates):
Pb 0.000 0.000 0.964
Re 0.333 0.667 0.651
Sb 0.667 0.333 0.384

***

(2)
Density functional theory data (GGA-PBEsol) for a relaxed structure of Re2TeRuC.

Properties
For the total energy, the calculation gives -44.84 eV/f.u. As for the total magnetic moment: 0.0 μB/cell. As for the space-group type: P4/mmm (123). The value obtained for the uncorrected formation energy is 1.033 eV per atom. As for the energy above the most stable polymorph in this dataset: 0.000 eV per atom.

a = 3.986 Å, b = 3.986 Å, c = 4.680 Å
α = 90.00°, β = 90.00°, γ = 90.00°
Atoms (fractional coordinates):
Re 0.000 0.500 0.000
Re 0.500 0.000 0.000
C 0.000 0.000 0.000
Te 0.000 0.000 0.500
Ru 0.500 0.500 0.500

***

(3)
Density functional theory data (GGA-PBEsol) for a relaxed structure of CuAuCl2.

Properties
For the total energy, the calculation gives -11.29 eV/f.u. As for the total magnetic moment: 0.0 μB/cell. As for the space-group type: P4/mmm (123). The value obtained for the uncorrected formation energy is 0.246 eV per atom. As for the energy above the most stable polymorph in this dataset: 0.158 eV per atom.

a = 3.263 Å, b = 4.568 Å, c = 4.568 Å
α = 89.94°, β = 90.00°, γ = 90.00°
Atoms (fractional coordinates):
Au 0.500 0.500 0.500
Cu 0.500 0.000 0.000
Cl 0.000 0.500 0.000
Cl 0.000 0.000 0.500

***

(4)
Density functional theory data (GGA-PBEsol) for a relaxed structure of YCuHg3.

Properties
For the total energy, the calculation gives -8.40 eV/f.u. As for the total magnetic moment: 0.0 μB/cell. As for the space-group type: Pm-3m (221). The value obtained for the formation energy is 890.5 meV per atom.

a = 5.679 Å, b = 5.679 Å, c = 5.679 Å
α = 90.00°, β = 90.00°, γ = 90.00°
Atoms (fractional coordinates):
Y 0.000 0.000 0.000
Hg 0.000 0.500 0.000
Hg 0.000 0.000 0.500
Hg 0.500 0.000 0.000
Cu 0.500 0.500 0.500

***

(5)
Density functional theory data (GGA-PBEsol) for a relaxed structure of LiBe3Br.

Properties
For the total energy, the calculation gives -8.96 eV/f.u. As for the total magnetic moment: 0.0 μB/cell. As for the space-group type: Pm-3m (221). The value obtained for the uncorrected formation energy is 1.374 eV per atom.

a = 4.494 Å, b = 4.494 Å, c = 4.494 Å
α = 90.00°, β = 90.00°, γ = 90.00°
Atoms (fractional coordinates):
Be 0.000 0.500 0.000
Be 0.000 0.000 0.500
Be 0.500 0.000 0.000
Br 0.000 0.000 0.000
Li 0.500 0.500 0.500

***

(6)
Density functional theory data (GGA-PBEsol) for a relaxed structure of Al2CdHg.

Properties
For the total energy, the calculation gives -9.14 eV/f.u. As for the total magnetic moment: 0.0 μB/cell. As for the space-group type: F-43m (216). The value obtained for the formation energy is 202.9 meV per atom. As for the energy above the most stable polymorph in this dataset: 0.070 eV per atom.

a = 4.831 Å, b = 4.831 Å, c = 4.831 Å
α = 60.00°, β = 60.00°, γ = 60.00°
Atoms (fractional coordinates):
Al 0.000 0.000 0.000
Al 0.250 0.250 0.250
Hg 0.750 0.750 0.750
Cd 0.500 0.500 0.500

***

(7)
Density functional theory data (GGA-PBEsol) for a relaxed structure of TaZn2Co.

Properties
For the total energy, the calculation gives -23.85 eV/f.u. As for the total magnetic moment: 0.0 μB/cell. As for the space-group type: P4mm (99). The value obtained for the formation energy is -100.3 meV per atom. As for the energy above the most stable polymorph in this dataset: 0.000 eV per atom.

a = 2.911 Å, b = 2.911 Å, c = 6.414 Å
α = 90.00°, β = 90.00°, γ = 90.00°
Atoms (fractional coordinates):
Zn 0.000 0.000 0.020
Zn 0.500 0.500 0.266
Co 0.000 0.000 0.493
Ta 0.500 0.500 0.721

***

(8)
Density functional theory data (GGA-PBEsol) for a relaxed structure of KRhSe2.

Properties
For the total energy, the calculation gives -17.67 eV/f.u. As for the total magnetic moment: 0.0 μB/cell. As for the space-group type: P4mm (99). The value obtained for the uncorrected formation energy is -0.174 eV per atom.

a = 3.134 Å, b = 3.134 Å, c = 9.125 Å
α = 90.00°, β = 90.00°, γ = 90.00°
Atoms (fractional coordinates):
K 0.000 0.000 0.514
Rh 0.500 0.500 0.809
Se 0.000 0.000 0.921
Se 0.500 0.500 0.256

***

(9)
Density functional theory data (GGA-PBEsol) for a relaxed structure of CdAu.

Properties
For the total energy, the calculation gives -5.35 eV/f.u. As for the total magnetic moment: 0.0 μB/cell. As for the space-group type: Fd-3m (227). The value obtained for the formation energy is -116.0 meV per atom.

a = 4.683 Å, b = 4.683 Å, c = 4.683 Å
α = 60.00°, β = 60.00°, γ = 60.00°
Atoms (fractional coordinates):
Au 0.250 0.250 0.250
Au 0.000 0.000 0.000
Cd 0.500 0.500 0.500
Cd 0.750 0.750 0.750

***

(10)
Density functional theory data (GGA-PBEsol) for a relaxed structure of CrFeCo2.

Properties
For the total energy, the calculation gives -34.22 eV/f.u. As for the total magnetic moment: 5.5 μB/cell. As for the space-group type: Cmmm (65). The value obtained for the formation energy is 114.7 meV per atom.

a = 2.402 Å, b = 2.402 Å, c = 7.851 Å
α = 90.00°, β = 90.00°, γ = 108.64°
Last column: magnetic moment on the atom in μB.
Atoms (fractional coordinates):
Co 0.000 0.000 0.249  1.48
Co 0.000 0.000 0.751  1.48
Cr 0.500 0.500 0.500  0.16
Fe 0.500 0.500 0.000  2.45

***

(11)
Density functional theory data (GGA-PBEsol) for a relaxed structure of Mn2SnAs.

Properties
For the total energy, the calculation gives -27.68 eV/f.u. As for the total magnetic moment: 1.0 μB/cell. As for the space-group type: Fm-3m (225). The value obtained for the formation energy is 302.4 meV per atom.

a = 4.269 Å, b = 4.269 Å, c = 4.269 Å
α = 60.00°, β = 60.00°, γ = 60.00°
Last column: magnetic moment on the atom in μB.
Atoms (fractional coordinates):
As 0.000 0.000 0.000  -0.05
Mn 0.250 0.250 0.250  0.58
Mn 0.750 0.750 0.750  0.58
Sn 0.500 0.500 0.500  -0.05

***

(12)
Density functional theory data (GGA-PBEsol) for a relaxed structure of ScBiS2.

Properties
For the total energy, the calculation gives -24.71 eV/f.u. As for the total magnetic moment: 0.0 μB/cell. As for the space-group type: R-3m (166). The value obtained for the uncorrected formation energy is -1.264 eV per atom.

a = 3.630 Å, b = 3.630 Å, c = 8.627 Å
α = 77.86°, β = 77.86°, γ = 60.00°
Atoms (fractional coordinates):
Sc 0.500 0.500 0.500
S 0.890 0.890 0.329
S 0.110 0.110 0.671
Bi 0.000 0.000 0.000

***

(13)
Density functional theory data (GGA-PBEsol) for a relaxed structure of LiBe2FeCu.

Properties
For the total energy, the calculation gives -18.05 eV/f.u. As for the total magnetic moment: 1.1 μB/cell. As for the space-group type: P4/mmm (123). The value obtained for the formation energy is 1043.7 meV per atom.

a = 3.734 Å, b = 3.734 Å, c = 3.752 Å
α = 90.00°, β = 90.00°, γ = 90.00°
Last column: magnetic moment on the atom in μB.
Atoms (fractional coordinates):
Be 0.000 0.500 0.000  -0.05
Be 0.500 0.000 0.000  -0.05
Fe 0.000 0.000 0.500  1.43
Cu 0.500 0.500 0.500  -0.04
Li 0.000 0.000 0.000  -0.06

***

(14)
Density functional theory data (GGA-PBEsol) for a relaxed structure of LiMgAg2.

Properties
For the total energy, the calculation gives -11.10 eV/f.u. As for the total magnetic moment: 0.0 μB/cell. As for the space-group type: F-43m (216). The value obtained for the formation energy is -197.2 meV per atom.

a = 4.552 Å, b = 4.552 Å, c = 4.552 Å
α = 60.00°, β = 60.00°, γ = 60.00°
Atoms (fractional coordinates):
Mg 0.250 0.250 0.250
Ag 0.000 0.000 0.000
Ag 0.750 0.750 0.750
Li 0.500 0.500 0.500

***

(15)
Density functional theory data (GGA-PBEsol) for a relaxed structure of Na2Ge2Se5.

Properties
For the total energy, the calculation gives -37.06 eV/f.u. As for the total magnetic moment: 0.0 μB/cell. As for the space-group type: Cmcm (63). The value obtained for the uncorrected formation energy is -0.570 eV per atom. As for the energy above the most stable polymorph in this dataset: 0.009 eV per atom.

a = 9.430 Å, b = 9.430 Å, c = 10.924 Å
α = 90.00°, β = 90.00°, γ = 89.88°
Atoms (fractional coordinates):
Na 0.937 0.422 0.750
Na 0.063 0.578 0.250
Na 0.578 0.063 0.750
Na 0.422 0.937 0.250
Na 0.145 0.145 0.500
Na 0.855 0.855 0.000
Na 0.855 0.855 0.500
Na 0.145 0.145 0.000
Ge 0.600 0.678 0.750
Ge 0.400 0.322 0.250
Ge 0.322 0.400 0.750
Ge 0.678 0.600 0.250
Ge 0.258 0.742 0.923
Ge 0.742 0.258 0.423
Ge 0.258 0.742 0.577
Ge 0.742 0.258 0.077
Se 0.730 0.839 0.250
Se 0.270 0.161 0.750
Se 0.161 0.270 0.250
Se 0.839 0.730 0.750
Se 0.156 0.844 0.093
Se 0.844 0.156 0.593
Se 0.156 0.844 0.407
Se 0.844 0.156 0.907
Se 0.150 0.850 0.750
Se 0.850 0.150 0.250
Se 0.494 0.209 0.071
Se 0.506 0.791 0.571
Se 0.791 0.506 0.429
Se 0.209 0.494 0.929
Se 0.506 0.791 0.929
Se 0.494 0.209 0.429
Se 0.209 0.494 0.571
Se 0.791 0.506 0.071
Se 0.570 0.430 0.750
Se 0.430 0.570 0.250

***

(16)
Density functional theory data (GGA-PBEsol) for a relaxed structure of B2As2N.

Properties
For the total energy, the calculation gives -28.04 eV/f.u. As for the total magnetic moment: 0.0 μB/cell. As for the space-group type: P4/mbm (127). The value obtained for the uncorrected formation energy is 0.947 eV per atom.

a = 3.314 Å, b = 6.009 Å, c = 6.009 Å
α = 90.00°, β = 90.00°, γ = 90.00°
Atoms (fractional coordinates):
As 0.000 0.239 0.739
As 0.000 0.739 0.761
As 0.000 0.761 0.261
As 0.000 0.261 0.239
B 0.500 0.094 0.594
B 0.500 0.594 0.906
B 0.500 0.906 0.406
B 0.500 0.406 0.094
N 0.000 0.000 0.000
N 0.000 0.500 0.500

***

(17)
Density functional theory data (GGA-PBEsol) for a relaxed structure of YMn2Tc.

Properties
For the total energy, the calculation gives -35.02 eV/f.u. As for the total magnetic moment: 5.0 μB/cell. As for the space-group type: R-3m (166). The value obtained for the formation energy is 646.5 meV per atom. As for the energy above the most stable polymorph in this dataset: 0.333 eV per atom.

a = 2.897 Å, b = 2.897 Å, c = 8.953 Å
α = 80.69°, β = 80.69°, γ = 60.00°
Last column: magnetic moment on the atom in μB.
Atoms (fractional coordinates):
Mn 0.239 0.239 0.284  2.67
Mn 0.761 0.761 0.716  2.67
Tc 0.500 0.500 0.500  -0.34
Y 0.000 0.000 0.000  -0.22

***

(18)
Density functional theory data (GGA-PBEsol) for a relaxed structure of ZnCuNi2.

Properties
For the total energy, the calculation gives -18.65 eV/f.u. As for the total magnetic moment: 0.0 μB/cell. As for the space-group type: Cm (8). The value obtained for the formation energy is -104.1 meV per atom.

a = 2.542 Å, b = 4.294 Å, c = 4.340 Å
α = 100.55°, β = 107.03°, γ = 90.00°
Atoms (fractional coordinates):
Ni 0.002 0.001 0.005
Ni 0.748 0.247 0.495
Zn 0.498 0.496 0.995
Cu 0.252 0.757 0.505

***

(19)
Density functional theory data (GGA-PBEsol) for a relaxed structure of ZnAg3O.

Properties
For the total energy, the calculation gives -11.61 eV/f.u. As for the total magnetic moment: 0.0 μB/cell. As for the space-group type: Pm-3m (221). The value obtained for the uncorrected formation energy is 1.032 eV per atom.

a = 4.664 Å, b = 4.664 Å, c = 4.664 Å
α = 90.00°, β = 90.00°, γ = 90.00°
Atoms (fractional coordinates):
Zn 0.000 0.000 0.000
O 0.500 0.500 0.500
Ag 0.000 0.500 0.000
Ag 0.000 0.000 0.500
Ag 0.500 0.000 0.000

***

(20)
Density functional theory data (GGA-PBEsol) for a relaxed structure of MgOs3.

Properties
For the total energy, the calculation gives -37.00 eV/f.u. As for the total magnetic moment: 0.0 μB/cell. As for the space-group type: Pmmm (47). The value obtained for the formation energy is 341.9 meV per atom.

a = 2.737 Å, b = 3.882 Å, c = 5.428 Å
α = 90.00°, β = 90.00°, γ = 90.00°
Atoms (fractional coordinates):
Mg 0.500 0.500 0.000
Os 0.000 0.000 0.742
Os 0.000 0.000 0.258
Os 0.500 0.500 0.500

***

(21)
Density functional theory data (GGA-PBEsol) for a relaxed structure of KHgTe.

Properties
For the total energy, the calculation gives -6.43 eV/f.u. As for the total magnetic moment: 0.0 μB/cell. As for the space-group type: Imm2 (44). The value obtained for the uncorrected formation energy is -0.401 eV per atom.

a = 3.223 Å, b = 4.956 Å, c = 6.385 Å
α = 112.84°, β = 104.62°, γ = 90.00°
Atoms (fractional coordinates):
Hg 0.000 0.000 0.999
K 0.663 0.663 0.326
Te 0.338 0.338 0.675

***

(22)
Density functional theory data (GGA-PBEsol) for a relaxed structure of In2Sb2H16C4S7N2.

Properties
For the total energy, the calculation gives -163.83 eV/f.u. As for the total magnetic moment: 0.0 μB/cell. As for the space-group type: C2/c (15).

a = 6.948 Å, b = 10.307 Å, c = 14.301 Å
α = 84.61°, β = 75.94°, γ = 70.30°
Atoms (fractional coordinates):
C 0.905 0.400 0.207
C 0.511 0.100 0.293
C 0.095 0.600 0.793
C 0.489 0.900 0.707
C 0.591 0.403 0.154
C 0.148 0.097 0.346
C 0.409 0.597 0.846
C 0.852 0.903 0.654
H 0.679 0.572 0.166
H 0.417 0.928 0.334
H 0.321 0.428 0.834
H 0.583 0.072 0.666
H 0.834 0.464 0.074
H 0.371 0.036 0.426
H 0.166 0.536 0.926
H 0.629 0.964 0.574
H 0.013 0.459 0.201
H 0.673 0.041 0.299
H 0.987 0.541 0.799
H 0.327 0.959 0.701
H 0.991 0.294 0.182
H 0.466 0.206 0.318
H 0.009 0.706 0.818
H 0.534 0.794 0.682
H 0.816 0.398 0.282
H 0.496 0.102 0.218
H 0.184 0.602 0.718
H 0.504 0.898 0.782
H 0.490 0.454 0.105
H 0.049 0.046 0.395
H 0.510 0.546 0.895
H 0.951 0.954 0.605
H 0.497 0.413 0.229
H 0.140 0.087 0.271
H 0.503 0.587 0.771
H 0.860 0.913 0.729
H 0.668 0.294 0.135
H 0.096 0.206 0.365
H 0.332 0.706 0.865
H 0.904 0.794 0.635
N 0.754 0.468 0.146
N 0.368 0.032 0.354
N 0.246 0.532 0.854
N 0.632 0.968 0.646
S 0.571 0.250 0.750
S 0.429 0.750 0.250
S 0.954 0.950 0.890
S 0.794 0.550 0.610
S 0.046 0.050 0.110
S 0.206 0.450 0.390
S 0.054 0.677 0.074
S 0.806 0.823 0.426
S 0.946 0.323 0.926
S 0.194 0.177 0.574
S 0.588 0.773 0.976
S 0.336 0.727 0.524
S 0.412 0.227 0.024
S 0.664 0.273 0.476
In 0.727 0.195 0.892
In 0.814 0.305 0.608
In 0.273 0.805 0.108
In 0.186 0.695 0.392
Sb 0.768 0.892 0.050
Sb 0.711 0.608 0.450
Sb 0.232 0.108 0.950
Sb 0.289 0.392 0.550

***

(23)
Density functional theory data (GGA-PBEsol) for a relaxed structure of PrB2Rh3.

Properties
For the total energy, the calculation gives -47.77 eV/f.u. As for the total magnetic moment: 0.0 μB/cell. As for the space-group type: P6/mmm (191). The value obtained for the formation energy is -688.8 meV per atom.

a = 3.066 Å, b = 5.462 Å, c = 5.462 Å
α = 120.00°, β = 90.00°, γ = 90.00°
Atoms (fractional coordinates):
Pr 0.000 0.000 0.000
B 0.000 0.333 0.667
B 0.000 0.667 0.333
Rh 0.500 0.000 0.500
Rh 0.500 0.500 0.500
Rh 0.500 0.500 0.000

***

(24)
Density functional theory data (GGA-PBEsol) for a relaxed structure of CsTlPb.

Properties
For the total energy, the calculation gives -8.06 eV/f.u. As for the total magnetic moment: 0.0 μB/cell. As for the space-group type: Cm (8). The value obtained for the formation energy is -161.8 meV per atom.

a = 4.498 Å, b = 8.033 Å, c = 8.304 Å
α = 118.11°, β = 105.72°, γ = 90.00°
Atoms (fractional coordinates):
Pb 0.715 0.469 0.430
Pb 0.106 0.557 0.213
Cs 0.056 0.006 0.111
Cs 0.381 0.330 0.761
Tl 0.337 0.785 0.674
Tl 0.722 0.879 0.443